Here is Tc2Cl after structural relaxation from the Alexandria database. Energies are from PBE.

Properties
As for the uncorrected formation energy: 0.76 eV per atom. For the total magnetic moment, the calculation gives 0.0 Bohr magnetons per cell. The calculation puts the energy above the most stable polymorph in this dataset at 684 meV per atom.

Cell: 4.645 4.645 4.645 Å, 143.81 130.56 62.78°
Atoms (fractional coordinates):
Tc1 0.173 0.173 0.000
Tc2 0.827 0.827 0.000
Cl1 0.500 0.500 0.000